Run 1
SbOs5: relaxed, PBE.

Unit cell a=10.139 b=2.843 c=6.653 alpha=90.00 beta=106.10 gamma=90.00
Space group Cm (No. 8)
One atom of each set of equivalent atoms:
1 Sb 0.000 0.000 0.000 x2
2 Os 0.135 0.500 0.695 x2
3 Os 0.189 0.500 0.337 x2
4 Os 0.268 0.000 0.039 x2
5 Os 0.348 0.000 0.653 x2
6 Os 0.460 0.500 0.389 x2

Calculated values
Density of states at the Fermi level ... 6.1 states/eV per cell

***

Run 2
SbOs5: relaxed, PBE.

Unit cell a=4.8657 b=4.8657 c=4.4891 alpha=90.00 beta=90.00 gamma=120.00
Space group P-62m (No. 189)
One atom of each set of equivalent atoms:
1 Sb 0.0000 0.0000 0.0000 x1
2 Os 0.0000 0.6383 0.5000 x3
3 Os 0.3333 0.6667 0.0000 x2

Calculated values
Density of states at the Fermi level ... 5.7 states/eV per cell

***

Q: Which of them is the most stable? A: run 1.

***

Run 1
Sb3Os2: relaxed, PBE.

Unit cell a=4.4875 b=4.4875 c=5.9710 alpha=90.00 beta=90.00 gamma=120.00
Space group P-3m1 (No. 164)
One atom of each set of equivalent atoms:
1 Sb 0.0000 0.0000 0.0000 x1
2 Sb 0.3333 0.6667 0.3401 x2
3 Os 0.3333 0.6667 0.8423 x2

Calculated values
Density of states at the Fermi level ... 2.1 states/eV per cell

***

Run 2
Sb3Os2: relaxed, PBE.

Unit cell a=11.411 b=15.980 c=4.949 alpha=90.00 beta=90.00 gamma=90.00
Space group Fdd2 (No. 43)
One atom of each set of equivalent atoms:
1 Sb 0.000 0.000 0.000 x8
2 Sb 0.002 0.180 0.453 x16
3 Os 0.080 0.344 0.452 x16

Calculated values
Density of states at the Fermi level ... 22.6 states/eV per cell

***

Q: Which of them is the most stable? A: run 2.

***

Run 1
Sb5Os3: relaxed, PBE.

Unit cell a=8.1622 b=8.1622 c=5.7961 alpha=90.00 beta=90.00 gamma=120.00
Space group P6_3/mcm (No. 193)
One atom of each set of equivalent atoms:
1 Sb 0.0000 0.2556 0.2500 x6
2 Sb 0.3333 0.6667 0.0000 x4
3 Os 0.0000 0.4238 0.7500 x6

Calculated values
Density of states at the Fermi level ... 9.5 states/eV per cell

***

Run 2
Sb5Os3: relaxed, PBE.

Unit cell a=7.663 b=10.960 c=4.172 alpha=90.00 beta=90.00 gamma=90.00
Space group Cmmm (No. 65)
One atom of each set of equivalent atoms:
1 Sb 0.000 0.000 0.000 x2
2 Sb 0.222 0.500 0.500 x4
3 Sb 0.250 0.250 0.000 x4
4 Os 0.000 0.315 0.500 x4
5 Os 0.000 0.500 0.000 x2

Calculated values
Density of states at the Fermi level ... 15.8 states/eV per cell

***

Q: Which of them is the most stable? A: run 1.

***

Run 1
Sc3SbOs: relaxed, PBE.

Unit cell a=5.009 b=5.009 c=5.009 alpha=90.00 beta=90.00 gamma=90.00
Space group Pm-3m (No. 221)
One atom of each set of equivalent atoms:
1 Sc 0.000 0.000 0.500 x3
2 Sb 0.500 0.500 0.500 x1
3 Os 0.000 0.000 0.000 x1

Calculated values
Density of states at the Fermi level ... 7.4 states/eV per cell

***

Run 2
Sc3SbOs: relaxed, PBE.

Unit cell a=5.148 b=5.148 c=5.148 alpha=90.00 beta=90.00 gamma=90.00
Space group Pm-3m (No. 221)
One atom of each set of equivalent atoms:
1 Sc 0.000 0.000 0.500 x3
2 Sb 0.000 0.000 0.000 x1
3 Os 0.500 0.500 0.500 x1

Calculated values
Density of states at the Fermi level ... 4.3 states/eV per cell

***

Q: Which of them is the most stable? A: run 1.

***

Run 1
ScSb2Os: relaxed, PBE.

Unit cell a=4.201 b=4.201 c=9.077 alpha=90.00 beta=90.00 gamma=90.00
Space group I-4m2 (No. 119)
One atom of each set of equivalent atoms:
1 Sc 0.000 0.000 0.000 x2
2 Sb 0.000 0.000 0.500 x2
3 Sb 0.000 0.500 0.250 x2
4 Os 0.000 0.500 0.750 x2

Calculated values
Density of states at the Fermi level ... 4.4 states/eV per cell

***

Run 2
ScSb2Os: relaxed, PBE.

Unit cell a=6.910 b=6.910 c=6.910 alpha=90.00 beta=90.00 gamma=90.00
Space group F-43m (No. 216)
One atom of each set of equivalent atoms:
1 Sc 0.000 0.000 0.000 x4
2 Sb 0.000 0.000 0.500 x4
3 Sb 0.250 0.250 0.250 x4
4 Os 0.250 0.250 0.750 x4

Calculated values
Density of states at the Fermi level ... 15.4 states/eV per cell

***

Run 3
ScSb2Os: relaxed, PBE.

Unit cell a=4.818 b=4.818 c=3.392 alpha=90.00 beta=90.00 gamma=90.00
Space group P4/mmm (No. 123)
One atom of each set of equivalent atoms:
1 Sc 0.000 0.000 0.000 x1
2 Sb 0.000 0.500 0.500 x2
3 Os 0.500 0.500 0.000 x1

Calculated values
Density of states at the Fermi level ... 3.4 states/eV per cell

***

Q: Which of them is the most stable? A: run 3.

***

Run 1
ScSb2TeOs: relaxed, PBE.

Unit cell a=5.006 b=5.006 c=5.752 alpha=90.00 beta=90.00 gamma=90.00
Space group P4/mmm (No. 123)
One atom of each set of equivalent atoms:
1 Sc 0.000 0.000 0.000 x1
2 Sb 0.000 0.500 0.500 x2
3 Te 0.500 0.500 0.000 x1
4 Os 0.500 0.500 0.500 x1

Calculated values
Density of states at the Fermi level ... 4.9 states/eV per cell

***

Run 2
ScSb2TeOs: relaxed, PBE.

Unit cell a=5.429 b=5.429 c=5.288 alpha=90.00 beta=90.00 gamma=90.00
Space group P4/mmm (No. 123)
One atom of each set of equivalent atoms:
1 Sc 0.000 0.000 0.000 x1
2 Sb 0.000 0.500 0.000 x2
3 Te 0.000 0.000 0.500 x1
4 Os 0.500 0.500 0.500 x1

Calculated values
Density of states at the Fermi level ... 6.6 states/eV per cell

***

Q: Which of them is the most stable? A: run 1.

***

Run 1
ScSbTe2Os: relaxed, PBE.

Unit cell a=5.384 b=5.384 c=5.522 alpha=90.00 beta=90.00 gamma=90.00
Space group P4/mmm (No. 123)
One atom of each set of equivalent atoms:
1 Sc 0.000 0.000 0.000 x1
2 Sb 0.000 0.000 0.500 x1
3 Te 0.000 0.500 0.000 x2
4 Os 0.500 0.500 0.500 x1

Calculated values
Density of states at the Fermi level ... 5.9 states/eV per cell

***

Run 2
ScSbTe2Os: relaxed, PBE.

Unit cell a=5.435 b=5.435 c=4.901 alpha=90.00 beta=90.00 gamma=90.00
Space group P4/mmm (No. 123)
One atom of each set of equivalent atoms:
1 Sc 0.000 0.000 0.000 x1
2 Sb 0.500 0.500 0.000 x1
3 Te 0.000 0.500 0.500 x2
4 Os 0.500 0.500 0.500 x1

Calculated values
Density of states at the Fermi level ... 4.6 states/eV per cell

***

Q: Which of them is the most stable? A: run 2.

***

Run 1
Sb3OsSe: relaxed, PBE.

Unit cell a=5.147 b=5.147 c=5.147 alpha=90.00 beta=90.00 gamma=90.00
Space group Pm-3m (No. 221)
One atom of each set of equivalent atoms:
1 Sb 0.000 0.000 0.500 x3
2 Os 0.000 0.000 0.000 x1
3 Se 0.500 0.500 0.500 x1

Calculated values
Density of states at the Fermi level ... 6.2 states/eV per cell

***

Run 2
Sb3OsSe: relaxed, PBE.

Unit cell a=5.224 b=5.224 c=5.224 alpha=90.00 beta=90.00 gamma=90.00
Space group Pm-3m (No. 221)
One atom of each set of equivalent atoms:
1 Sb 0.000 0.000 0.500 x3
2 Os 0.500 0.500 0.500 x1
3 Se 0.000 0.000 0.000 x1

Calculated values
Density of states at the Fermi level ... 5.7 states/eV per cell

***

Q: Which of them is the most stable? A: run 1.